This record from the Alexandria database describes a relaxed LaDyCu2Si2 crystal. The functional is GGA-PBE.

a = 4.208 Å, b = 4.208 Å, c = 7.808 Å
α = 90.00°, β = 90.00°, γ = 120.00°
Sites, in units of the cell vectors:
Cu (0.667, 0.333, 0.274)
Cu (0.333, 0.667, 0.726)
Dy (0.000, 0.000, 0.500)
Si (0.667, 0.333, 0.734)
Si (0.333, 0.667, 0.266)
La (0.000, 0.000, 0.000)

Computed properties:
Space group: P-3m1, No. 164
Formation energy (no corrections) in kcal/mol of atoms: -15.0
Total moment in Bohr magnetons per cell: 0.0